# Hg2WCl6 | the Alexandria database | GGA-PBE | optimized geometry
# * electronic total energy: -3.395 eV/atom
data_Hg2WCl6
_chemical_formula_sum 'Hg4 W2 Cl12'
_space_group_name_H-M_alt 'C 1 2/m 1'
_space_group_IT_number 12
_space_group_name_Hall '-C 2y'
_cell_length_a 12.530
_cell_length_b 7.321
_cell_length_c 7.040
_cell_angle_alpha 90.00
_cell_angle_beta 114.64
_cell_angle_gamma 90.00
loop_
_atom_site_label
_atom_site_fract_x
_atom_site_fract_y
_atom_site_fract_z
Hg1 0.101 0.000 0.224
W1 0.000 0.500 0.500
Cl1 0.094 0.500 0.279
Cl2 0.128 0.276 0.700